# FeSbI2Cl

A PBEsol-optimized structure of FeSbI2Cl (SCAN, the Alexandria database).

Computed properties:
Its space-group type is P4/mmm (123). The calculation puts the mass density at 5.8 g/cm³. As for the uncorrected formation energy: 0.24 eV/atom.

```
5
Lattice="5.125 0.000 0.000 0.000 5.125 0.000 0.000 0.000 5.049" Properties=species:S:1:pos:R:3 pbc="T T T"
Fe 0.000 0.000 0.000
Sb 0.000 0.000 2.525
I 0.000 2.562 0.000
I 2.562 0.000 0.000
Cl 2.562 2.562 2.525
```

---

# InFeCl2

A PBEsol-optimized structure of InFeCl2 (SCAN, the Alexandria database).

Computed properties:
Its space-group type is Pmmm (47). The calculation puts the mass density at 5.0 g/cm³. As for the uncorrected formation energy: -0.12 eV/atom.

```
4
Lattice="3.235 0.000 0.000 0.000 4.349 0.000 0.000 0.000 5.662" Properties=species:S:1:pos:R:3 pbc="T T T"
In 0.000 0.000 0.000
Fe 1.618 0.000 2.831
Cl 0.000 2.174 2.831
Cl 1.618 2.174 0.000
```

---

# InFe2Cl

A PBEsol-optimized structure of InFe2Cl (SCAN, the Alexandria database).

Computed properties:
Its space-group type is Cm (8). The polymorph energy (0 for the lowest one) is 0 meV per atom. The calculation puts the mass density at 5.6 g/cm³. As for the uncorrected formation energy: 0.05 eV/atom.

```
4
Lattice="5.767 -1.497 0.000 5.767 1.497 0.000 -0.004 0.000 4.490" Properties=species:S:1:pos:R:3 pbc="T T T"
In 0.000 0.000 0.000
Fe 6.091 0.000 2.245
Fe 10.146 0.000 2.244
Cl 2.562 0.000 2.249
```

---

Repeat the second record exactly.
# InFeCl2

A PBEsol-optimized structure of InFeCl2 (SCAN, the Alexandria database).

Computed properties:
Its space-group type is Pmmm (47). The calculation puts the mass density at 5.0 g/cm³. As for the uncorrected formation energy: -0.12 eV/atom.

```
4
Lattice="3.235 0.000 0.000 0.000 4.349 0.000 0.000 0.000 5.662" Properties=species:S:1:pos:R:3 pbc="T T T"
In 0.000 0.000 0.000
Fe 1.618 0.000 2.831
Cl 0.000 2.174 2.831
Cl 1.618 2.174 0.000
```

---

What did the second record say?
# InFeCl2

A PBEsol-optimized structure of InFeCl2 (SCAN, the Alexandria database).

Computed properties:
Its space-group type is Pmmm (47). The calculation puts the mass density at 5.0 g/cm³. As for the uncorrected formation energy: -0.12 eV/atom.

```
4
Lattice="3.235 0.000 0.000 0.000 4.349 0.000 0.000 0.000 5.662" Properties=species:S:1:pos:R:3 pbc="T T T"
In 0.000 0.000 0.000
Fe 1.618 0.000 2.831
Cl 0.000 2.174 2.831
Cl 1.618 2.174 0.000
```

---

- What is the formula in the first record?
  FeSbI2Cl